[1]
# RbFeCo

An optimized crystal structure of RbFeCo (PBE-GGA, Alexandria via LeMat-Bulk).

Summary:
As for the volume: 332.5 Å³/cell. The total magnetization is 18.19 μB per cell. The formation energy is 0.85 eV/atom.

a = 8.2799 Å, b = 3.5919 Å, c = 11.1803 Å
α = 90.00°, β = 90.00°, γ = 90.00°
Space group Pnma (No. 62)
Unique sites:
Rb 0.0353 0.2500 0.1787 [4 per cell]
Fe 0.0970 0.2500 0.5422 [4 per cell]
Co 0.1757 0.7500 0.4323 [4 per cell]

[2]
# NpCdInAg

An optimized crystal structure of NpCdInAg (PBE-GGA, Alexandria via LeMat-Bulk).

Summary:
As for the volume: 372.5 Å³/cell. The total magnetization is 17.34 μB per cell. The formation energy is 0.18 eV/atom.

a = 7.1950 Å, b = 7.1950 Å, c = 7.1950 Å
α = 90.00°, β = 90.00°, γ = 90.00°
Space group F-43m (No. 216)
Unique sites:
Np 0.0000 0.0000 0.0000 [4 per cell]
Cd 0.2500 0.2500 0.7500 [4 per cell]
In 0.0000 0.0000 0.5000 [4 per cell]
Ag 0.2500 0.2500 0.2500 [4 per cell]

[3]
# Tb4Zn3Hg

An optimized crystal structure of Tb4Zn3Hg (PBE-GGA, Alexandria via LeMat-Bulk).

Summary:
As for the volume: 190.6 Å³/cell. The total magnetization is 0.00 μB per cell. The formation energy is -0.37 eV/atom.

a = 5.1050 Å, b = 5.1050 Å, c = 7.3132 Å
α = 90.00°, β = 90.00°, γ = 90.00°
Space group P4/mmm (No. 123)
Unique sites:
Tb 0.0000 0.5000 0.2405 [4 per cell]
Zn 0.0000 0.0000 0.0000 [1 per cell]
Zn 0.0000 0.0000 0.5000 [1 per cell]
Zn 0.5000 0.5000 0.0000 [1 per cell]
Hg 0.5000 0.5000 0.5000 [1 per cell]

[4]
# LaRu3

An optimized crystal structure of LaRu3 (PBE-GGA, Alexandria via LeMat-Bulk).

Summary:
As for the volume: 138.4 Å³/cell. The total magnetization is 0.00 μB per cell. The formation energy is 0.30 eV/atom.

a = 2.9477 Å, b = 9.4435 Å, c = 4.9726 Å
α = 90.00°, β = 90.00°, γ = 90.00°
Space group Imm2 (No. 44)
Unique sites:
La 0.0000 0.0000 0.0000 [2 per cell]
Ru 0.0000 0.2307 0.3603 [4 per cell]
Ru 0.0000 0.5000 0.0145 [2 per cell]

[5]
# Pa3Co6SiH2

An optimized crystal structure of Pa3Co6SiH2 (PBE-GGA, Alexandria via LeMat-Bulk).

Summary:
As for the volume: 174.9 Å³/cell. For the uncorrected energy, the calculation gives -7.262 eV per atom. The total magnetization is 0.00 μB per cell.

a = 5.1192 Å, b = 5.1192 Å, c = 7.7083 Å
α = 90.00°, β = 90.00°, γ = 120.00°
Space group P-3m1 (No. 164)
Unique sites:
Pa 0.0000 0.0000 0.0000 [1 per cell]
Pa 0.3333 0.6667 0.6423 [2 per cell]
Co 0.1706 0.3411 0.2649 [6 per cell]
Si 0.0000 0.0000 0.5000 [1 per cell]
H 0.3333 0.6667 0.1434 [2 per cell]

[6]
# Y4HoP5

An optimized crystal structure of Y4HoP5 (PBE-GGA, Alexandria via LeMat-Bulk).

Summary:
As for the volume: 455.3 Å³/cell. The total magnetization is 0.00 μB per cell. The formation energy is -1.63 eV/atom.

a = 4.0105 Å, b = 5.6662 Å, c = 20.0376 Å
α = 90.00°, β = 90.00°, γ = 90.00°
Space group Immm (No. 71)
Unique sites:
Y 0.0000 0.0000 0.0999 [4 per cell]
Y 0.0000 0.0000 0.3002 [4 per cell]
Ho 0.0000 0.0000 0.5000 [2 per cell]
P 0.0000 0.5000 0.0993 [4 per cell]
P 0.0000 0.5000 0.2999 [4 per cell]
P 0.0000 0.5000 0.5000 [2 per cell]

[7]
# Pa2Be3SnIr4

An optimized crystal structure of Pa2Be3SnIr4 (PBE-GGA, Alexandria via LeMat-Bulk).

Summary:
As for the volume: 165.3 Å³/cell. The total magnetization is 0.00 μB per cell. The formation energy is -0.59 eV/atom.

a = 4.0235 Å, b = 4.0235 Å, c = 10.2082 Å
α = 90.00°, β = 90.00°, γ = 90.00°
Space group P-4m2 (No. 115)
Unique sites:
Pa 0.0000 0.5000 0.2229 [2 per cell]
Be 0.0000 0.5000 0.8911 [2 per cell]
Be 0.5000 0.5000 0.5000 [1 per cell]
Sn 0.0000 0.0000 0.5000 [1 per cell]
Ir 0.0000 0.0000 0.0000 [1 per cell]
Ir 0.0000 0.5000 0.6692 [2 per cell]
Ir 0.5000 0.5000 0.0000 [1 per cell]

[8]
# Nd5Hg2Ir2

An optimized crystal structure of Nd5Hg2Ir2 (PBE-GGA, Alexandria via LeMat-Bulk).

Summary:
As for the volume: 1000.5 Å³/cell. The total magnetization is 0.00 μB per cell. The formation energy is -0.56 eV/atom.

a = 16.1890 Å, b = 7.7302 Å, c = 7.9946 Å
α = 90.00°, β = 90.00°, γ = 90.00°
Space group Cmce (No. 64)
Unique sites:
Nd 0.0000 0.0000 0.0000 [4 per cell]
Nd 0.1206 0.1697 0.3280 [16 per cell]
Hg 0.2136 0.0000 0.0000 [8 per cell]
Ir 0.0000 0.1293 0.6299 [8 per cell]

[9]
# NdNpAs2

An optimized crystal structure of NdNpAs2 (PBE-GGA, Alexandria via LeMat-Bulk).

Summary:
As for the volume: 317.7 Å³/cell. The total magnetization is 11.78 μB per cell. The formation energy is -0.95 eV/atom.

a = 4.1383 Å, b = 4.1383 Å, c = 21.4206 Å
α = 90.00°, β = 90.00°, γ = 120.00°
Space group R3m (No. 160, hexagonal axes)
Unique sites:
Nd 0.0000 0.0000 0.0000 [3 per cell]
Np 0.0000 0.0000 0.1717 [3 per cell]
As 0.0000 0.0000 0.5809 [3 per cell]
As 0.0000 0.0000 0.7581 [3 per cell]

[10]
# ZnTcW

An optimized crystal structure of ZnTcW (PBE-GGA, Alexandria via LeMat-Bulk).

Summary:
As for the volume: 180.3 Å³/cell. The total magnetization is 0.00 μB per cell. The formation energy is 0.07 eV/atom.

a = 4.4909 Å, b = 9.0416 Å, c = 4.4404 Å
α = 90.00°, β = 90.00°, γ = 90.00°
Space group Cmcm (No. 63)
Unique sites:
Zn 0.0000 0.0769 0.2500 [4 per cell]
Tc 0.0000 0.2527 0.7500 [4 per cell]
W 0.0000 0.4024 0.2500 [4 per cell]

[11]
# K3WBr

An optimized crystal structure of K3WBr (PBE-GGA, Alexandria via LeMat-Bulk).

Summary:
As for the volume: 241.1 Å³/cell. For the uncorrected energy, the calculation gives -2.955 eV per atom. The total magnetization is 5.93 μB per cell.

a = 6.2243 Å, b = 6.2243 Å, c = 6.2243 Å
α = 90.00°, β = 90.00°, γ = 90.00°
Space group Pm-3m (No. 221)
Unique sites:
K 0.0000 0.0000 0.5000 [3 per cell]
W 0.5000 0.5000 0.5000 [1 per cell]
Br 0.0000 0.0000 0.0000 [1 per cell]

[12]
# ReNiMo2

An optimized crystal structure of ReNiMo2 (PBE-GGA, Alexandria via LeMat-Bulk).

Summary:
As for the volume: 116.1 Å³/cell. The total magnetization is 0.00 μB per cell. The formation energy is 0.08 eV/atom.

a = 3.2336 Å, b = 4.2631 Å, c = 8.4225 Å
α = 90.00°, β = 90.00°, γ = 90.00°
Space group Cmmm (No. 65)
Unique sites:
Re 0.0000 0.0000 0.0000 [2 per cell]
Ni 0.0000 0.0000 0.5000 [2 per cell]
Mo 0.0000 0.5000 0.2631 [4 per cell]

[13]
# AlTc3W

An optimized crystal structure of AlTc3W (PBE-GGA, Alexandria via LeMat-Bulk).

Summary:
As for the volume: 103.5 Å³/cell. The total magnetization is 1.94 μB per cell. The formation energy is 1.65 eV/atom.

a = 4.6948 Å, b = 4.6948 Å, c = 4.6948 Å
α = 90.00°, β = 90.00°, γ = 90.00°
Space group Pm-3m (No. 221)
Unique sites:
Al 0.0000 0.0000 0.0000 [1 per cell]
Tc 0.0000 0.5000 0.5000 [3 per cell]
W 0.5000 0.5000 0.5000 [1 per cell]

[14]
# Tb2GdCd

An optimized crystal structure of Tb2GdCd (PBE-GGA, Alexandria via LeMat-Bulk).

Summary:
As for the volume: 459.0 Å³/cell. The total magnetization is 30.25 μB per cell. The formation energy is -0.03 eV/atom.

a = 7.7141 Å, b = 7.7141 Å, c = 7.7141 Å
α = 90.00°, β = 90.00°, γ = 90.00°
Space group Fm-3m (No. 225)
Unique sites:
Tb 0.2500 0.2500 0.2500 [8 per cell]
Gd 0.0000 0.0000 0.0000 [4 per cell]
Cd 0.0000 0.0000 0.5000 [4 per cell]

[15]
# TlFeCu2Ni

An optimized crystal structure of TlFeCu2Ni (PBE-GGA, Alexandria via LeMat-Bulk).

Summary:
As for the volume: 97.1 Å³/cell. The total magnetization is 3.07 μB per cell. The formation energy is 1.19 eV/atom.

a = 4.4332 Å, b = 4.4332 Å, c = 4.9385 Å
α = 90.00°, β = 90.00°, γ = 90.00°
Space group P4/mmm (No. 123)
Unique sites:
Tl 0.0000 0.0000 0.0000 [1 per cell]
Fe 0.0000 0.0000 0.5000 [1 per cell]
Cu 0.0000 0.5000 0.5000 [2 per cell]
Ni 0.5000 0.5000 0.0000 [1 per cell]

[16]
# Ba2ZnSn6Hg

An optimized crystal structure of Ba2ZnSn6Hg (PBE-GGA, Alexandria via LeMat-Bulk).

Summary:
As for the volume: 2006.3 Å³/cell. The total magnetization is 0.00 μB per cell. The formation energy is -0.20 eV/atom.

a = 6.9790 Å, b = 6.9790 Å, c = 47.5635 Å
α = 90.00°, β = 90.00°, γ = 120.00°
Space group R-3m (No. 166, hexagonal axes)
Unique sites:
Ba 0.0000 0.0000 0.1150 [6 per cell]
Ba 0.0000 0.0000 0.3132 [6 per cell]
Zn 0.0000 0.0000 0.0000 [3 per cell]
Zn 0.0000 0.0000 0.5000 [3 per cell]
Sn 0.0395 0.5197 0.7127 [18 per cell]
Sn 0.0510 0.5255 0.8665 [18 per cell]
Hg 0.0000 0.0000 0.4228 [6 per cell]

[17]
# Nd5Sn3

An optimized crystal structure of Nd5Sn3 (PBE-GGA, Alexandria via LeMat-Bulk).

Summary:
As for the volume: 1004.4 Å³/cell. The total magnetization is 5.58 μB per cell. The formation energy is -0.66 eV/atom.

a = 8.3711 Å, b = 8.3711 Å, c = 14.3337 Å
α = 90.00°, β = 90.00°, γ = 90.00°
Space group I4/mcm (No. 140)
Unique sites:
Nd 0.0000 0.0000 0.0000 [4 per cell]
Nd 0.1654 0.3346 0.1494 [16 per cell]
Sn 0.0000 0.0000 0.2500 [4 per cell]
Sn 0.1336 0.3664 0.5000 [8 per cell]

[18]
# CdSnBr3

An optimized crystal structure of CdSnBr3 (PBE-GGA, Alexandria via LeMat-Bulk).

Summary:
As for the volume: 184.7 Å³/cell. For the uncorrected energy, the calculation gives -2.383 eV per atom. The total magnetization is 0.71 μB per cell.

a = 5.6945 Å, b = 5.6945 Å, c = 5.6945 Å
α = 90.00°, β = 90.00°, γ = 90.00°
Space group Pm-3m (No. 221)
Unique sites:
Cd 0.0000 0.0000 0.0000 [1 per cell]
Sn 0.5000 0.5000 0.5000 [1 per cell]
Br 0.0000 0.5000 0.5000 [3 per cell]

[19]
# CeNpAs2Pd2

An optimized crystal structure of CeNpAs2Pd2 (PBE-GGA, Alexandria via LeMat-Bulk).

Summary:
As for the volume: 125.8 Å³/cell. The total magnetization is 5.03 μB per cell. The formation energy is -0.85 eV/atom.

a = 4.3725 Å, b = 4.3725 Å, c = 7.5989 Å
α = 90.00°, β = 90.00°, γ = 120.00°
Space group P-3m1 (No. 164)
Unique sites:
Ce 0.0000 0.0000 0.0000 [1 per cell]
Np 0.0000 0.0000 0.5000 [1 per cell]
As 0.3333 0.6667 0.7407 [2 per cell]
Pd 0.3333 0.6667 0.2495 [2 per cell]

[20]
# CeHo2Sc3Se6

An optimized crystal structure of CeHo2Sc3Se6 (PBE-GGA, Alexandria via LeMat-Bulk).

Summary:
As for the volume: 539.9 Å³/cell. For the uncorrected energy, the calculation gives -6.251 eV per atom. The total magnetization is 2.21 μB per cell.

a = 17.3948 Å, b = 3.9735 Å, c = 8.0282 Å
α = 90.00°, β = 103.36°, γ = 90.00°
Space group C2/m (No. 12)
Unique sites:
Ce 0.0000 0.0000 0.0000 [2 per cell]
Ho 0.1643 0.5000 0.3298 [4 per cell]
Sc 0.0000 0.0000 0.5000 [2 per cell]
Sc 0.1640 0.5000 0.8373 [4 per cell]
Se 0.0030 0.5000 0.7328 [4 per cell]
Se 0.1652 0.0000 0.5915 [4 per cell]
Se 0.1741 0.0000 0.0795 [4 per cell]